This record from the Alexandria database describes HgPSe3 after structural relaxation. The functional is GGA-PBE.

Results
Formation energy without anion corrections (meV/atom): -121

Cell: 6.5616 7.5278 13.3651 Å, 90.00 118.82 90.00°
Fractional positions:
1 Hg 0.0904 0.1249 0.1363
2 Hg 0.0904 0.3751 0.6363
3 Hg 0.9096 0.6249 0.3637
4 Hg 0.9096 0.8751 0.8637
5 P 0.4730 0.1013 0.9296
6 P 0.4730 0.3987 0.4296
7 P 0.5270 0.6013 0.5704
8 P 0.5270 0.8987 0.0704
9 Se 0.1213 0.2113 0.8622
10 Se 0.1213 0.2887 0.3622
11 Se 0.2743 0.6806 0.9865
12 Se 0.2743 0.8194 0.4865
13 Se 0.4744 0.5474 0.2858
14 Se 0.4744 0.9526 0.7858
15 Se 0.5256 0.0474 0.2142
16 Se 0.5256 0.4526 0.7142
17 Se 0.7257 0.1806 0.5135
18 Se 0.7257 0.3194 0.0135
19 Se 0.8787 0.7113 0.6378
20 Se 0.8787 0.7887 0.1378